First-principles (GGA-PBE) data for crystalline Th3Si3Os2 at its relaxed geometry, as listed in the Alexandria database.

The structure belongs to space group Cmcm (No. 63); the cell edges are 4.219, 10.846 and 14.827 Å and the angles 90.00°, 90.00° and 90.00°. The asymmetric unit holds Th at (0.000, 0.071, 0.108), Th at (0.000, 0.355, 0.250), Si at (0.000, 0.348, 0.034), Si at (0.000, 0.352, 0.750) and Os at (0.000, 0.213, 0.610).

The value obtained for the polymorph energy (0 for the lowest one) is 53 meV/atom. The total magnetization is 0.000 μB per formula unit. The value obtained for the uncorrected formation energy is -0.632 eV/atom.